# 1
Computed, not measured: an optimized crystal structure of Dy2Ho3Ga2 at the PBE level of DFT.

Output
calculated formation energy	-0.33	eV per atom
calculated volume	27.4	Å³/atom
N(E_F)	14.10	states/eV/cell
crystal system	monoclinic
M_tot	0.000	μB per formula unit

Cell: 12.9206 3.7152 8.7775 Å, 90.00 114.48 90.00°
With the nearest neighbours (Å) after each atom.
Space group C2/m (No. 12)
Asymmetric unit:
1 Dy 0.1447 0.0000 0.3087 (multiplicity 4)  2 Ga 2.99
2 Ho 0.0000 0.5000 0.5000 (multiplicity 2)  4 Ga 2.99
3 Ho 0.1129 0.5000 0.9392 (multiplicity 4)  3 Ga 3.07-3.08
4 Ga 0.1829 0.0000 0.7186 (multiplicity 4)  2 Dy 2.99, 5 Ho 2.99-3.08


# 2
Computed, not measured: an optimized crystal structure of LiCd2Hg2 at the PBE level of DFT.

Output
calculated formation energy	-0.05	eV per atom
calculated volume	24.0	Å³/atom
N(E_F)	3.61	states/eV/cell
crystal system	tetragonal
M_tot	0.000	μB per formula unit
E above lowest polymorph	78	meV per atom

Cell: 8.2262 8.2262 3.5489 Å, 90.00 90.00 90.00°
With the nearest neighbours (Å) after each atom.
Space group P4/mbm (No. 127)
Asymmetric unit:
1 Li 0.0000 0.0000 0.0000 (multiplicity 2)  4 Cd 3.23, 8 Hg 3.52, 2 Li 3.55
2 Cd 0.1284 0.3716 0.0000 (multiplicity 4)  6 Hg 2.91-3.08, 1 Cd 2.99, 2 Li 3.23
3 Hg 0.1738 0.6738 0.5000 (multiplicity 4)  6 Cd 2.91-3.08


# 3
Computed, not measured: an optimized crystal structure of Ti4NO at the PBE level of DFT.

Output
calculated volume	12.6	Å³/atom
N(E_F)	15.44	states/eV/cell
crystal system	monoclinic
M_tot	0.000	μB per formula unit
E above lowest polymorph	64	meV per atom
energy relative to the elements, uncorrected	-1.496	eV/atom

Cell: 8.7663 5.8243 5.9050 Å, 90.00 91.08 90.00°
With the nearest neighbours (Å) after each atom.
Space group C2/c (No. 15)
Asymmetric unit:
1 Ti 0.0161 0.2432 0.4936 (multiplicity 8)  1 N 2.05, 2 O 2.09-2.12
2 Ti 0.2437 0.4771 0.7699 (multiplicity 8)  2 N 2.07-2.09, 1 O 2.14
3 N 0.2500 0.2500 0.5000 (multiplicity 4)  6 Ti 2.05-2.09
4 O 0.0000 0.4899 0.7500 (multiplicity 4)  6 Ti 2.09-2.14


# 4
Computed, not measured: an optimized crystal structure of AcErZnCu at the PBE level of DFT.

Output
calculated formation energy	-0.17	eV per atom
calculated volume	25.1	Å³/atom
N(E_F)	6.71	states/eV/cell
crystal system	cubic
M_tot	0.000	μB per formula unit

Cell: 7.3815 7.3815 7.3815 Å, 90.00 90.00 90.00°
With the nearest neighbours (Å) after each atom.
Space group F-43m (No. 216)
Asymmetric unit:
1 Ac 0.0000 0.0000 0.0000 (multiplicity 4)  4 Zn 3.20, 4 Cu 3.20
2 Er 0.0000 0.0000 0.5000 (multiplicity 4)  4 Cu 3.20, 4 Zn 3.20
3 Zn 0.2500 0.2500 0.7500 (multiplicity 4)  4 Ac 3.20, 4 Er 3.20
4 Cu 0.2500 0.2500 0.2500 (multiplicity 4)  4 Ac 3.20, 4 Er 3.20


# 5
Computed, not measured: an optimized crystal structure of CdGe2Sb2 at the PBE level of DFT.

Output
calculated volume	26.0	Å³/atom
N(E_F)	5.23	states/eV/cell
crystal system	tetragonal
M_tot	0.000	μB per formula unit
E above lowest polymorph	0	meV per atom
energy relative to the elements, uncorrected	0.213	eV/atom

Cell: 5.3575 5.3575 9.0451 Å, 90.00 90.00 90.00°
With the nearest neighbours (Å) after each atom.
Space group I4/mmm (No. 139)
Asymmetric unit:
1 Cd 0.0000 0.0000 0.0000 (multiplicity 2)  2 Ge 3.24, 8 Sb 3.51
2 Ge 0.0000 0.0000 0.3581 (multiplicity 4)  1 Ge 2.57, 4 Sb 2.85
3 Sb 0.0000 0.5000 0.2500 (multiplicity 4)  4 Ge 2.85


# 6
Computed, not measured: an optimized crystal structure of InHgN2 at the PBE level of DFT.

Output
calculated volume	34.1	Å³/atom
N(E_F)	1.90	states/eV/cell
crystal system	triclinic
M_tot	0.000	μB per formula unit
E above lowest polymorph	0	meV per atom
energy relative to the elements, uncorrected	0.111	eV/atom

Cell: 3.2262 5.7301 14.9079 Å, 89.38 83.89 83.83°
With the nearest neighbours (Å) after each atom.
Space group P-1 (No. 2)
Asymmetric unit:
1 In 0.0000 0.0000 0.0000 (multiplicity 1)  6 In 3.13-3.44, 2 Hg 3.34
2 In 0.5000 0.5000 0.0000 (multiplicity 1)  6 In 3.13-3.44, 2 Hg 3.34
3 Hg 0.1519 0.7497 0.1991 (multiplicity 2)  2 Hg 3.23, 2 In 3.34
4 N 0.4332 0.8479 0.5984 (multiplicity 2)  1 N 1.11
5 N 0.4666 0.6524 0.5984 (multiplicity 2)  1 N 1.11


# 7
Computed, not measured: an optimized crystal structure of AlReHg2 at the PBE level of DFT.

Output
calculated formation energy	0.39	eV per atom
calculated volume	18.7	Å³/atom
N(E_F)	8.01	states/eV/cell
crystal system	trigonal
M_tot	0.251	μB per formula unit

Cell: 3.0226 3.0226 28.4024 Å, 90.00 90.00 120.00°
With the nearest neighbours (Å) after each atom.
Space group R3m (No. 160, hexagonal axes)
Asymmetric unit:
1 Al 0.0000 0.0000 0.0000 (multiplicity 3)  3 Re 2.57
2 Re 0.0000 0.0000 0.7329 (multiplicity 3)  3 Al 2.57
3 Hg 0.0000 0.0000 0.2480 (multiplicity 3)  3 Al 2.99, 9 Hg 3.02-3.27
4 Hg 0.0000 0.0000 0.4839 (multiplicity 3)  3 Re 2.96, 9 Hg 3.02-3.27


# 8
Computed, not measured: an optimized crystal structure of CaZr2Cu at the PBE level of DFT.

Output
calculated formation energy	0.46	eV per atom
calculated volume	21.6	Å³/atom
N(E_F)	27.88	states/eV/cell
crystal system	cubic
M_tot	0.000	μB per formula unit
E above lowest polymorph	449	meV per atom

Cell: 7.0133 7.0133 7.0133 Å, 90.00 90.00 90.00°
With the nearest neighbours (Å) after each atom.
Space group Fm-3m (No. 225)
Asymmetric unit:
1 Ca 0.0000 0.0000 0.0000 (multiplicity 4)  8 Zr 3.04
2 Zr 0.2500 0.2500 0.2500 (multiplicity 8)  4 Ca 3.04, 4 Cu 3.04
3 Cu 0.0000 0.0000 0.5000 (multiplicity 4)  8 Zr 3.04


# 9
Computed, not measured: an optimized crystal structure of KNa2AgPt at the PBE level of DFT.

Output
calculated formation energy	0.03	eV per atom
calculated volume	31.5	Å³/atom
N(E_F)	1.18	states/eV/cell
crystal system	tetragonal
M_tot	0.000	μB per formula unit

Cell: 5.4377 5.4377 5.3321 Å, 90.00 90.00 90.00°
With the nearest neighbours (Å) after each atom.
Space group P4/mmm (No. 123)
Asymmetric unit:
1 K 0.0000 0.0000 0.0000 (multiplicity 1)  8 Na 3.81, 4 Ag 3.85
2 Na 0.0000 0.5000 0.5000 (multiplicity 2)  2 Pt 2.72
3 Ag 0.5000 0.5000 0.0000 (multiplicity 1)  2 Pt 2.67
4 Pt 0.5000 0.5000 0.5000 (multiplicity 1)  2 Ag 2.67, 4 Na 2.72


# 10
Computed, not measured: an optimized crystal structure of Ru5PtW4 at the PBE level of DFT.

Output
calculated formation energy	-0.06	eV per atom
calculated volume	14.9	Å³/atom
N(E_F)	12.77	states/eV/cell
crystal system	monoclinic
M_tot	0.000	μB per formula unit

Cell: 14.1029 3.9480 5.4759 Å, 90.00 101.87 90.00°
With the nearest neighbours (Å) after each atom.
Space group C2/m (No. 12)
Asymmetric unit:
1 Ru 0.0000 0.0000 0.0000 (multiplicity 2)  6 Ru 2.72-2.76, 2 Pt 2.74, 4 W 2.74
2 Ru 0.0996 0.5000 0.3000 (multiplicity 4)  6 W 2.65-2.82, 4 Ru 2.76-2.77, 2 Pt 2.78
3 Ru 0.1971 0.0000 0.0965 (multiplicity 4)  7 W 2.69-2.79, 5 Ru 2.72-2.81
4 Pt 0.0000 0.0000 0.5000 (multiplicity 2)  6 Ru 2.74-2.78, 6 W 2.81-2.82
5 W 0.1011 0.5000 0.8161 (multiplicity 4)  8 Ru 2.65-2.82, 2 Pt 2.81, 2 W 2.85
6 W 0.2045 0.0000 0.6010 (multiplicity 4)  7 Ru 2.70-2.79, 4 W 2.71-2.85, 1 Pt 2.82


# 11
Computed, not measured: an optimized crystal structure of Os2RhSe at the PBE level of DFT.

Output
calculated volume	15.4	Å³/atom
N(E_F)	5.38	states/eV/cell
crystal system	monoclinic
M_tot	0.000	μB per formula unit
energy relative to the elements, uncorrected	0.697	eV/atom

Cell: 2.8394 4.8154 4.5090 Å, 90.00 90.72 90.00°
With the nearest neighbours (Å) after each atom.
Space group P2/m (No. 10)
Asymmetric unit:
1 Os 0.2300 0.0000 0.2473 (multiplicity 2)  6 Os 2.57-2.84, 2 Rh 2.75, 2 Se 2.77
2 Rh 0.0000 0.5000 0.5000 (multiplicity 1)  4 Se 2.65-2.68, 4 Os 2.75, 2 Rh 2.84
3 Se 0.5000 0.5000 0.0000 (multiplicity 1)  4 Rh 2.65-2.68, 4 Os 2.77, 2 Se 2.84


# 12
Computed, not measured: an optimized crystal structure of Hf2Ga3Rh4 at the PBE level of DFT.

Output
calculated formation energy	-0.79	eV per atom
calculated volume	15.7	Å³/atom
N(E_F)	5.76	states/eV/cell
crystal system	monoclinic
M_tot	0.000	μB per formula unit

Cell: 8.3385 4.1660 8.3229 Å, 90.00 101.57 90.00°
With the nearest neighbours (Å) after each atom.
Space group C2/m (No. 12)
Asymmetric unit:
1 Hf 0.1792 0.0000 0.2197 (multiplicity 4)  7 Rh 2.71-2.85, 5 Ga 2.91-2.97
2 Ga 0.0000 0.5000 0.0000 (multiplicity 2)  8 Rh 2.73-2.80, 4 Hf 2.97
3 Ga 0.1496 0.0000 0.5694 (multiplicity 4)  1 Ga 2.53, 4 Rh 2.66-2.76
4 Rh 0.0247 0.5000 0.3323 (multiplicity 4)  6 Ga 2.67-2.91, 3 Hf 2.71-2.85, 1 Rh 2.90
5 Rh 0.1602 0.0000 0.8911 (multiplicity 4)  4 Ga 2.66-2.80, 4 Hf 2.71-2.80, 2 Rh 2.96